Below is Pm4Sb2AsS after structural relaxation, with properties calculated at the PBE-GGA level.

Calculated values
Crystal system ... monoclinic
Raw formation energy ... -1.471 eV per atom
Theoretical density ... 6.77 g/cm3
Density of states at the Fermi level ... 0.20 states/eV/atom
Energy ... -0.4391 Ry/atom
Calculated volume ... 228 Å³ per cell

abc: 7.460 4.315 7.510
angles: 90.00 109.33 90.00
Space group P2/m (No. 10)
Inequivalent atoms, fractional coordinates:
Pm 0.244 0.000 0.232 x2
Pm 0.255 0.500 0.767 x2
Sb 0.000 0.000 0.500 x1
Sb 0.500 0.500 0.500 x1
As 0.500 0.000 0.000 x1
S 0.000 0.500 0.000 x1